Record 1
First-principles (PBE-GGA) data for an optimized crystal structure of Tm2MgCo, as listed in the Alexandria database.

extended XYZ file:
```
4
Lattice="0.000 3.497 3.497 3.497 0.000 3.497 3.497 3.497 0.000" Properties=species:S:1:pos:R:3 pbc="T T T"
Tm 1.749 1.749 1.749
Tm 5.246 5.246 5.246
Mg 0.000 0.000 0.000
Co 3.497 3.497 3.497
```

- SG = Fm-3m (225)
- E above lowest polymorph (meV/atom) = 141
- energy of formation from the pure elements (eV/atom) = -0.037

Record 2
First-principles (PBE-GGA) data for an optimized crystal structure of Pa2TeOs, as listed in the Alexandria database.

extended XYZ file:
```
4
Lattice="2.021 1.167 7.415 -2.021 1.167 7.415 0.000 -2.333 7.415" Properties=species:S:1:pos:R:3 pbc="T T T"
Pa 0.000 0.000 5.218
Pa 0.000 0.000 17.028
Te 0.000 0.000 0.000
Os 0.000 0.000 11.123
```

- SG = R-3m (166)
- uncorrected formation energy (meV/atom) = -601
- E above lowest polymorph (meV/atom) = 0

Record 3
First-principles (PBE-GGA) data for an optimized crystal structure of Pd7Pb3Au2, as listed in the Alexandria database.

extended XYZ file:
```
12
Lattice="2.410 -10.115 0.000 2.410 10.115 0.000 -1.474 0.000 4.801" Properties=species:S:1:pos:R:3 pbc="T T T"
Pd 0.000 0.000 0.000
Pd 1.673 8.578 2.400
Pd 2.410 4.403 0.000
Pd 2.410 1.483 0.000
Pd 2.410 -1.483 0.000
Pd 2.410 -4.403 0.000
Pd 1.673 -8.578 2.400
Pb 1.673 3.387 2.400
Pb 1.673 0.000 2.400
Pb 1.673 -3.387 2.400
Au 2.410 7.201 0.000
Au 2.410 -7.201 0.000
```

- SG = C2/m (12)
- energy of formation from the pure elements (eV/atom) = -0.140

Record 4
First-principles (PBE-GGA) data for an optimized crystal structure of SrLiTa, as listed in the Alexandria database.

extended XYZ file:
```
6
Lattice="3.624 0.000 0.000 0.000 3.791 0.000 -1.790 0.000 12.021" Properties=species:S:1:pos:R:3 pbc="T T T"
Sr 0.000 0.000 0.000
Sr 0.014 1.896 8.560
Li -0.047 1.896 5.234
Li 1.783 0.000 5.690
Ta -0.004 0.000 3.303
Ta 1.809 1.896 2.463
```

- SG = Pm (6)
- E above lowest polymorph (meV/atom) = 46
- energy of formation from the pure elements (eV/atom) = 0.419

Record 5
First-principles (PBE-GGA) data for an optimized crystal structure of TbDy3Y3Se8, as listed in the Alexandria database.

extended XYZ file:
```
15
Lattice="4.067 2.348 6.643 -4.067 2.348 6.643 0.000 -4.696 6.643" Properties=species:S:1:pos:R:3 pbc="T T T"
Tb 0.000 0.000 0.000
Dy -2.033 -1.174 6.643
Dy -2.033 1.174 13.286
Dy 0.000 2.348 6.643
Y -4.067 0.000 9.965
Y -2.033 1.174 3.322
Y 2.033 1.174 3.322
Se 0.000 0.000 4.989
Se 0.000 -2.306 8.327
Se -1.997 1.153 8.327
Se -1.997 -1.153 11.603
Se 1.997 1.153 8.327
Se 1.997 -1.153 11.603
Se 0.000 2.306 11.603
Se 0.000 0.000 14.941
```

- SG = R-3m (166)
- uncorrected formation energy (meV/atom) = -1839

Record 6
First-principles (PBE-GGA) data for an optimized crystal structure of InSnCl3, as listed in the Alexandria database.

extended XYZ file:
```
20
Lattice="5.914 -6.668 0.000 5.914 6.668 0.000 -0.807 0.000 8.939" Properties=species:S:1:pos:R:3 pbc="T T T"
In 5.309 5.322 6.704
In 5.712 3.145 2.235
In 5.309 -3.145 6.704
In 5.712 -5.322 2.235
Sn 3.106 1.407 6.998
Sn 3.509 -1.407 2.528
Sn 7.512 1.407 6.410
Sn 7.915 -1.407 1.941
Cl 2.542 2.776 1.687
Cl 0.967 1.111 5.428
Cl 1.370 -1.111 0.959
Cl 4.675 1.789 5.013
Cl 5.943 1.789 8.395
Cl 2.138 -2.776 6.156
Cl 8.882 2.776 2.783
Cl 5.078 -1.789 0.544
Cl 6.346 -1.789 3.925
Cl 9.650 1.111 7.980
Cl 10.054 -1.111 3.510
Cl 8.479 -2.776 7.252
```

- SG = C2/c (15)
- uncorrected formation energy (meV/atom) = -910

Record 7
First-principles (PBE-GGA) data for an optimized crystal structure of Pu2ZnGa3, as listed in the Alexandria database.

extended XYZ file:
```
6
Lattice="3.119 0.000 0.000 0.000 4.696 0.000 0.000 0.000 8.115" Properties=species:S:1:pos:R:3 pbc="T T T"
Pu 0.000 0.000 0.000
Pu 0.000 2.348 4.037
Zn 1.559 2.348 6.740
Ga 1.559 0.000 2.702
Ga 1.559 0.000 5.431
Ga 1.559 2.348 1.313
```

- SG = Pmm2 (25)
- energy of formation from the pure elements (eV/atom) = -0.321

Record 8
First-principles (PBE-GGA) data for an optimized crystal structure of CuIrPdS4, as listed in the Alexandria database.

extended XYZ file:
```
14
Lattice="-3.515 3.554 4.976 3.515 -3.554 4.976 3.515 3.554 -4.976" Properties=species:S:1:pos:R:3 pbc="T T T"
Cu 0.000 1.777 1.262
Cu 3.515 1.777 3.713
Ir 3.515 0.000 0.000
Ir 0.000 0.000 4.976
Pd 1.758 1.777 -2.488
Pd 1.758 -1.777 2.488
S 3.515 -0.116 2.374
S 1.930 1.777 -0.065
S 5.101 1.777 -0.065
S 3.515 3.437 -2.374
S 0.000 0.116 7.350
S -1.585 1.777 5.040
S 1.585 1.777 5.040
S 0.000 3.670 2.601
```

- SG = Imma (74)
- uncorrected formation energy (meV/atom) = -323

Record 9
First-principles (PBE-GGA) data for an optimized crystal structure of CsSc2ZnRh, as listed in the Alexandria database.

extended XYZ file:
```
5
Lattice="5.198 0.000 0.000 0.000 5.198 0.000 0.000 0.000 5.174" Properties=species:S:1:pos:R:3 pbc="T T T"
Cs 0.000 0.000 0.000
Sc 0.000 2.599 0.000
Sc 2.599 0.000 0.000
Zn 0.000 0.000 2.587
Rh 2.599 2.599 2.587
```

- SG = P4/mmm (123)
- energy of formation from the pure elements (eV/atom) = 1.886

Record 10
First-principles (PBE-GGA) data for an optimized crystal structure of Hf4Sn2B, as listed in the Alexandria database.

extended XYZ file:
```
7
Lattice="-2.245 2.245 7.472 2.245 -2.245 7.472 2.245 2.245 -7.472" Properties=species:S:1:pos:R:3 pbc="T T T"
Hf 2.245 0.000 0.000
Hf 0.000 0.000 2.318
Hf 0.000 2.245 0.000
Hf 0.000 0.000 12.627
Sn 0.000 0.000 5.302
Sn 0.000 0.000 9.642
B 0.000 0.000 0.000
```

- SG = I4/mmm (139)
- energy of formation from the pure elements (eV/atom) = -0.362

Record 11
First-principles (PBE-GGA) data for an optimized crystal structure of KCu2Tc, as listed in the Alexandria database.

extended XYZ file:
```
4
Lattice="2.579 0.000 0.000 0.000 5.081 0.000 0.000 0.000 5.527" Properties=species:S:1:pos:R:3 pbc="T T T"
K 0.000 0.000 0.000
Cu 0.000 2.541 2.764
Cu 1.290 2.541 0.000
Tc 1.290 0.000 2.764
```

- SG = Pmmm (47)
- E above lowest polymorph (meV/atom) = 646
- energy of formation from the pure elements (eV/atom) = 1.212

Record 12
First-principles (PBE-GGA) data for an optimized crystal structure of TaMn2Au, as listed in the Alexandria database.

extended XYZ file:
```
4
Lattice="2.984 0.000 0.000 0.000 2.984 0.000 0.000 0.000 6.864" Properties=species:S:1:pos:R:3 pbc="T T T"
Ta 0.000 0.000 0.000
Mn 0.000 0.000 3.840
Mn 1.492 1.492 5.051
Au 1.492 1.492 2.029
```

- SG = P4mm (99)
- E above lowest polymorph (meV/atom) = 47
- energy of formation from the pure elements (eV/atom) = 0.048